1.
First-principles (PBEsol) data for a relaxed structure of AlCuP2, as listed in Alexandria via LeMat-Bulk.

Results
- Calculated formation energy: 0.61 eV per formula unit
- Fermi-level density of states: 0.4179 states/eV per atom
- SG: P4/mmm

Cell and atoms, written as POSCAR:
```
AlCuP2
1.0
3.3445 0.0000 0.0000
0.0000 3.3445 0.0000
0.0000 0.0000 4.9801
Cu P Al
1 2 1
Direct
0.5000 0.5000 0.5000 Cu
0.0000 0.0000 0.7295 P
0.0000 0.0000 0.2705 P
0.5000 0.5000 0.0000 Al
```

---

2.
First-principles (PBEsol) data for a relaxed structure of KPrS2O8, as listed in Alexandria via LeMat-Bulk.

Results
- Fermi-level density of states: 0.0000 states/eV per atom
- SG: P-1
- Formation energy from raw total energies: -2.1260 eV/atom

Cell and atoms, written as POSCAR:
```
KPrS2O8
1.0
-4.8546 1.3085 -2.0822
-0.3259 -5.9430 -3.5955
-4.0480 -4.1358 6.0629
O S Pr K
16 4 2 2
Direct
0.8323 0.6143 0.8987 O
0.5312 0.2251 0.9847 O
0.8844 0.8559 0.0796 O
0.7274 0.9246 0.4077 O
0.2726 0.0754 0.5923 O
0.2886 0.4525 0.8203 O
0.1156 0.1441 0.9204 O
0.5173 0.7174 0.6076 O
0.4688 0.7749 0.0153 O
0.9641 0.6951 0.5757 O
0.0359 0.3049 0.4243 O
0.7114 0.5475 0.1797 O
0.7763 0.9667 0.6947 O
0.4827 0.2826 0.3924 O
0.1677 0.3857 0.1013 O
0.2237 0.0333 0.3053 O
0.7213 0.6950 0.0445 S
0.2573 0.1710 0.4304 S
0.7427 0.8290 0.5696 S
0.2787 0.3050 0.9555 S
0.1789 0.8191 0.8016 Pr
0.8211 0.1809 0.1984 Pr
0.2527 0.6500 0.3158 K
0.7473 0.3500 0.6842 K
```

---

3.
First-principles (PBEsol) data for a relaxed structure of LaTlTe2Rh, as listed in Alexandria via LeMat-Bulk.

Results
- Fermi-level density of states: 1.5689 states/eV per atom
- SG: P4/mmm
- Formation energy from raw total energies: 0.1673 eV/atom

Cell and atoms, written as POSCAR:
```
LaTlTe2Rh
1.0
4.8185 0.0000 0.0000
0.0000 6.1568 0.0000
0.0000 0.0000 6.1568
La Te Tl Rh
1 2 1 1
Direct
0.0000 0.0000 0.0000 La
0.0000 0.0000 0.5000 Te
0.0000 0.5000 0.0000 Te
0.5000 0.5000 0.5000 Tl
0.5000 0.0000 0.0000 Rh
```

---

4.
First-principles (PBEsol) data for a relaxed structure of RuPt2, as listed in Alexandria via LeMat-Bulk.

Results
- Calculated formation energy: 0.01 eV per formula unit
- Fermi-level density of states: 1.2572 states/eV per atom
- SG: I4/mmm

Cell and atoms, written as POSCAR:
```
RuPt2
1.0
-0.5714 -2.6340 -0.3255
2.5938 -0.4837 -0.6391
0.2021 0.5973 6.1341
Ru Pt
1 2
Direct
0.0000 0.0000 0.0000 Ru
0.6606 0.6606 0.3212 Pt
0.3394 0.3394 0.6788 Pt
```

---

5.
First-principles (PBEsol) data for a relaxed structure of CaLa2AlMo, as listed in Alexandria via LeMat-Bulk.

Results
- Calculated formation energy: 1.05 eV per formula unit
- Fermi-level density of states: 0.9012 states/eV per atom
- SG: P4/mmm

Cell and atoms, written as POSCAR:
```
CaLa2AlMo
1.0
5.1991 0.0000 0.0000
0.0000 5.3718 0.0000
0.0000 0.0000 5.3718
La Al Ca Mo
2 1 1 1
Direct
0.0000 0.0000 0.5000 La
0.0000 0.5000 0.0000 La
0.5000 0.0000 0.0000 Al
0.5000 0.5000 0.5000 Ca
0.0000 0.0000 0.0000 Mo
```

---

6.
First-principles (PBEsol) data for a relaxed structure of In2Ga2Hg, as listed in Alexandria via LeMat-Bulk.

Results
- Calculated formation energy: 0.30 eV per formula unit
- Fermi-level density of states: 0.4164 states/eV per atom
- Energy above the most stable polymorph in this dataset: 0.012 eV/atom
- SG: P4/mbm

Cell and atoms, written as POSCAR:
```
In2Ga2Hg
1.0
3.3805 0.0000 0.0000
0.0000 8.2240 0.0000
0.0000 0.0000 8.2240
Ga In Hg
4 4 2
Direct
0.5000 0.6181 0.8819 Ga
0.5000 0.8819 0.3819 Ga
0.5000 0.1181 0.6181 Ga
0.5000 0.3819 0.1181 Ga
0.0000 0.8204 0.6796 In
0.0000 0.6796 0.1796 In
0.0000 0.3204 0.8204 In
0.0000 0.1796 0.3204 In
0.0000 0.0000 0.0000 Hg
0.0000 0.5000 0.5000 Hg
```

---

7.
First-principles (PBEsol) data for a relaxed structure of Ba2CdPt, as listed in Alexandria via LeMat-Bulk.

Results
- Calculated formation energy: -1.49 eV per formula unit
- Fermi-level density of states: 0.5871 states/eV per atom
- SG: R-3m

Cell and atoms, written as POSCAR:
```
Ba2CdPt
1.0
-1.2940 2.4149 3.5402
-1.2546 -2.0554 3.7737
7.1784 0.3362 5.2248
Pt Ba Cd
1 2 1
Direct
0.5000 0.5000 0.5000 Pt
0.7663 0.7663 0.7011 Ba
0.2337 0.2337 0.2989 Ba
0.0000 0.0000 0.0000 Cd
```

---

8.
First-principles (PBEsol) data for a relaxed structure of NiSn2H12O6F6, as listed in Alexandria via LeMat-Bulk.

Results
- E: -135.56 eV per cell
- SG: P-1

Cell and atoms, written as POSCAR:
```
NiSn2H12O6F6
1.0
-3.9157 -4.4148 2.7781
3.8014 -5.6584 -0.3993
1.9719 -1.1122 6.4258
H O Ni Sn F
12 6 1 2 6
Direct
0.9155 0.6411 0.2043 H
0.1079 0.7337 0.7498 H
0.7649 0.0495 0.7369 H
0.7666 0.0713 0.3642 H
0.2351 0.9505 0.2631 H
0.7270 0.7364 0.0938 H
0.2730 0.2636 0.9062 H
0.0845 0.3589 0.7957 H
0.8921 0.2663 0.2502 H
0.6517 0.1892 0.9145 H
0.2334 0.9287 0.6358 H
0.3483 0.8108 0.0855 H
0.1950 0.8270 0.7729 O
0.8050 0.1730 0.2271 O
0.2033 0.8687 0.1754 O
0.7967 0.1313 0.8246 O
0.1815 0.2300 0.8299 O
0.8185 0.7700 0.1701 O
0.0000 0.0000 0.0000 Ni
0.6552 0.6285 0.6694 Sn
0.3448 0.3715 0.3306 Sn
0.4278 0.3173 0.0167 F
0.7054 0.9358 0.5907 F
0.9755 0.5780 0.7055 F
0.5722 0.6827 0.9833 F
0.0245 0.4220 0.2945 F
0.2946 0.0642 0.4093 F
```

---

9.
First-principles (PBEsol) data for a relaxed structure of SiBiSe2S, as listed in Alexandria via LeMat-Bulk.

Results
- Fermi-level density of states: 1.0633 states/eV per atom
- SG: P4/mmm
- Formation energy from raw total energies: 1.2215 eV/atom

Cell and atoms, written as POSCAR:
```
SiBiSe2S
1.0
-5.0948 -1.1651 -1.1427
1.6189 -4.0800 -3.0582
-0.2120 -3.3614 4.3722
S Se Bi Si
1 2 1 1
Direct
0.5000 0.5000 0.5000 S
0.5000 0.0000 0.0000 Se
0.0000 0.5000 0.0000 Se
0.0000 0.0000 0.0000 Bi
0.0000 0.0000 0.5000 Si
```

---

10.
First-principles (PBEsol) data for a relaxed structure of Mn3TlBr, as listed in Alexandria via LeMat-Bulk.

Results
- Fermi-level density of states: 1.1782 states/eV per atom
- SG: Pm-3m
- Formation energy from raw total energies: 1.0484 eV/atom

Cell and atoms, written as POSCAR:
```
Mn3TlBr
1.0
4.5527 0.0000 0.0000
0.0000 4.5527 0.0000
0.0000 0.0000 4.5527
Tl Mn Br
1 3 1
Direct
0.5000 0.5000 0.5000 Tl
0.0000 0.0000 0.5000 Mn
0.0000 0.5000 0.0000 Mn
0.5000 0.0000 0.0000 Mn
0.0000 0.0000 0.0000 Br
```

---

11.
First-principles (PBEsol) data for a relaxed structure of CrPPtCl2, as listed in Alexandria via LeMat-Bulk.

Results
- Fermi-level density of states: 0.7056 states/eV per atom
- SG: P4/mmm
- Formation energy from raw total energies: 0.8900 eV/atom

Cell and atoms, written as POSCAR:
```
CrPPtCl2
1.0
-0.5593 -3.3393 2.9684
4.1169 -1.5475 -0.9651
1.8513 2.7666 3.4612
P Pt Cl Cr
1 1 2 1
Direct
0.0000 0.0000 0.0000 P
0.5000 0.5000 0.5000 Pt
0.5000 0.0000 0.0000 Cl
0.0000 0.5000 0.0000 Cl
0.0000 0.0000 0.5000 Cr
```

---

12.
First-principles (PBEsol) data for a relaxed structure of ZrAl2Se, as listed in Alexandria via LeMat-Bulk.

Results
- Fermi-level density of states: 0.7827 states/eV per atom
- SG: I-4m2
- Formation energy from raw total energies: -0.3199 eV/atom

Cell and atoms, written as POSCAR:
```
ZrAl2Se
1.0
-1.2522 -2.4192 2.9829
1.9929 -3.0913 -1.6706
3.2292 3.8009 1.7029
Al Se Zr
2 1 1
Direct
0.0000 0.0000 0.0000 Al
0.7500 0.2500 0.5000 Al
0.5000 0.5000 0.0000 Se
0.2500 0.7500 0.5000 Zr
```

---

> Which formula does entry 9 have?

SiBiSe2S